Compound: PmEr2Si
Source: the Alexandria database
Functional: GGA-PBE
Structure: optimized geometry Values from VASP.

The structure in Quantum ESPRESSO input format:
```
&SYSTEM
  ibrav = 0, nat = 4, ntyp = 3
/
ATOMIC_SPECIES
Si 28.09 Si.upf
Pm 145.00 Pm.upf
Er 167.26 Er.upf
ATOMIC_POSITIONS crystal
Si 0.500 0.500 0.500
Pm 0.500 0.000 0.000
Er 0.000 0.000 0.500
Er 0.000 0.500 0.000
CELL_PARAMETERS angstrom
-2.802 -1.924 3.156
-2.123 -2.419 -3.359
3.039 -3.474 0.581
```

**Volume**: 25.10 Å³ per atom
**Magnetic moment**: 0.002 μB/cell
**Energy relative to the elements, uncorrected**: -244 meV/atom
**Uncorrected energy**: -20.28 eV/cell

Compound: PmErSi2
Source: the Alexandria database
Functional: GGA-PBE
Structure: optimized geometry Values from VASP.

The structure in Quantum ESPRESSO input format:
```
&SYSTEM
  ibrav = 0, nat = 4, ntyp = 3
/
ATOMIC_SPECIES
Pm 145.00 Pm.upf
Si 28.09 Si.upf
Er 167.26 Er.upf
ATOMIC_POSITIONS crystal
Pm 0.442 0.500 0.422
Si 0.159 0.500 0.857
Si 0.009 0.000 0.557
Er 0.721 0.000 0.982
CELL_PARAMETERS angstrom
-2.549 -1.545 -3.149
-1.036 -2.942 2.282
-2.794 3.660 3.450
```

**Volume**: 22.33 Å³ per atom
**Magnetic moment**: 0.000 μB/cell
**Energy relative to the elements, uncorrected**: -790 meV/atom
**Uncorrected energy**: -23.32 eV/cell

Compound: PmErSi2
Source: the Alexandria database
Functional: GGA-PBE
Structure: optimized geometry Values from VASP.

The structure in Quantum ESPRESSO input format:
```
&SYSTEM
  ibrav = 0, nat = 4, ntyp = 3
/
ATOMIC_SPECIES
Si 28.09 Si.upf
Er 167.26 Er.upf
Pm 145.00 Pm.upf
ATOMIC_POSITIONS crystal
Si 0.758 0.758 0.725
Si 0.242 0.242 0.275
Er 0.500 0.500 0.500
Pm 0.000 0.000 0.000
CELL_PARAMETERS angstrom
-3.234 -2.547 -2.077
-2.229 -3.271 2.364
-5.427 1.515 1.476
```

**Volume**: 23.84 Å³ per atom
**Magnetic moment**: 0.000 μB/cell
**Energy relative to the elements, uncorrected**: -494 meV/atom
**Uncorrected energy**: -22.14 eV/cell

Compound: Pm3ErSi2
Source: the Alexandria database
Functional: GGA-PBE
Structure: optimized geometry Values from VASP.

The structure in Quantum ESPRESSO input format:
```
&SYSTEM
  ibrav = 0, nat = 6, ntyp = 3
/
ATOMIC_SPECIES
Pm 145.00 Pm.upf
Si 28.09 Si.upf
Er 167.26 Er.upf
ATOMIC_POSITIONS crystal
Pm 0.500 0.500 0.000
Pm 0.181 0.681 0.362
Pm 0.819 0.319 0.638
Si 0.632 0.132 0.265
Si 0.368 0.868 0.735
Er 0.000 0.000 0.000
CELL_PARAMETERS angstrom
-2.097 -2.266 3.137
1.695 -3.832 -1.635
6.638 3.819 4.108
```

**Volume**: 26.73 Å³ per atom
**Magnetic moment**: 0.001 μB/cell
**Energy relative to the elements, uncorrected**: -508 meV/atom
**Uncorrected energy**: -32.71 eV/cell

Compound: Pm2ErSi2
Source: the Alexandria database
Functional: GGA-PBE
Structure: optimized geometry Values from VASP.

The structure in Quantum ESPRESSO input format:
```
&SYSTEM
  ibrav = 0, nat = 10, ntyp = 3
/
ATOMIC_SPECIES
Er 167.26 Er.upf
Si 28.09 Si.upf
Pm 145.00 Pm.upf
ATOMIC_POSITIONS crystal
Er 0.750 0.181 0.785
Er 0.250 0.819 0.215
Si 0.750 0.128 0.371
Si 0.250 0.357 0.978
Si 0.750 0.643 0.022
Si 0.250 0.872 0.629
Pm 0.750 0.231 0.130
Pm 0.250 0.769 0.870
Pm 0.250 0.312 0.562
Pm 0.750 0.688 0.438
CELL_PARAMETERS angstrom
-3.520 -1.068 -1.501
2.556 -4.447 -2.832
-4.071 -2.761 11.514
```

**Volume**: 26.46 Å³ per atom
**Magnetic moment**: 0.000 μB/cell
**Energy relative to the elements, uncorrected**: -508 meV/atom
**Uncorrected energy**: -54.90 eV/cell

Compound: PmErSi
Source: the Alexandria database
Functional: GGA-PBE
Structure: optimized geometry Values from VASP.

The structure in Quantum ESPRESSO input format:
```
&SYSTEM
  ibrav = 0, nat = 3, ntyp = 3
/
ATOMIC_SPECIES
Er 167.26 Er.upf
Si 28.09 Si.upf
Pm 145.00 Pm.upf
ATOMIC_POSITIONS crystal
Er 0.230 0.333 0.667
Si 0.067 0.000 0.000
Pm 0.703 0.667 0.333
CELL_PARAMETERS angstrom
-1.474 -3.769 1.191
1.753 -1.913 -3.885
2.597 0.210 3.877
```

**Volume**: 26.57 Å³ per atom
**Magnetic moment**: 0.000 μB/cell
**Energy relative to the elements, uncorrected**: -313 meV/atom
**Uncorrected energy**: -15.68 eV/cell

Compound: PmErTlSi
Source: the Alexandria database
Functional: GGA-PBE
Structure: optimized geometry Values from VASP.

The structure in Quantum ESPRESSO input format:
```
&SYSTEM
  ibrav = 0, nat = 4, ntyp = 4
/
ATOMIC_SPECIES
Si 28.09 Si.upf
Pm 145.00 Pm.upf
Er 167.26 Er.upf
Tl 204.38 Tl.upf
ATOMIC_POSITIONS crystal
Si 0.750 0.750 0.750
Pm 0.500 0.500 0.500
Er 0.000 0.000 0.000
Tl 0.250 0.250 0.250
CELL_PARAMETERS angstrom
5.224 0.000 0.000
2.612 4.524 0.000
2.612 1.508 4.265
```

**Volume**: 25.20 Å³ per atom
**Magnetic moment**: 0.000 μB/cell
**Energy relative to the elements, uncorrected**: -320 meV/atom
**Uncorrected energy**: -18.38 eV/cell

Compound: Pm6Sm4Er
Source: the Alexandria database
Functional: GGA-PBE
Structure: optimized geometry Values from VASP.

The structure in Quantum ESPRESSO input format:
```
&SYSTEM
  ibrav = 0, nat = 11, ntyp = 3
/
ATOMIC_SPECIES
Pm 145.00 Pm.upf
Sm 150.36 Sm.upf
Er 167.26 Er.upf
ATOMIC_POSITIONS crystal
Pm 0.538 0.538 0.625
Pm 0.000 0.500 0.000
Pm 0.462 0.913 0.375
Pm 0.500 0.000 0.000
Pm 0.087 0.087 0.625
Pm 0.913 0.462 0.375
Sm 0.909 0.909 0.160
Sm 0.749 0.091 0.840
Sm 0.091 0.749 0.840
Sm 0.251 0.251 0.160
Er 0.500 0.500 0.000
CELL_PARAMETERS angstrom
7.584 0.000 0.000
0.000 7.584 0.000
-3.792 -3.792 6.808
```

**Volume**: 35.60 Å³ per atom
**Magnetic moment**: 0.000 μB/cell
**Calculated formation energy**: 374 meV/atom
**Uncorrected energy**: -47.82 eV/cell

Compound: Pm12Sm3Er
Source: the Alexandria database
Functional: GGA-PBE
Structure: optimized geometry Values from VASP.

The structure in Quantum ESPRESSO input format:
```
&SYSTEM
  ibrav = 0, nat = 16, ntyp = 3
/
ATOMIC_SPECIES
Sm 150.36 Sm.upf
Pm 145.00 Pm.upf
Er 167.26 Er.upf
ATOMIC_POSITIONS crystal
Sm 0.000 0.000 0.249
Sm 0.000 0.000 0.500
Sm 0.000 0.000 0.751
Pm 0.500 0.500 0.249
Pm 0.500 0.000 0.374
Pm 0.000 0.500 0.374
Pm 0.000 0.500 0.876
Pm 0.000 0.500 0.124
Pm 0.500 0.500 0.500
Pm 0.500 0.000 0.626
Pm 0.000 0.500 0.626
Pm 0.500 0.000 0.124
Pm 0.500 0.500 0.751
Pm 0.500 0.500 0.000
Pm 0.500 0.000 0.876
Er 0.000 0.000 0.000
CELL_PARAMETERS angstrom
-4.310 -2.777 -0.399
1.210 -2.499 4.329
-10.111 14.115 10.977
```

**Volume**: 33.95 Å³ per atom
**Magnetic moment**: 0.000 μB/cell
**Calculated formation energy**: 14 meV/atom
**Uncorrected energy**: -75.51 eV/cell

Compound: Pm15Sm4Er
Source: the Alexandria database
Functional: GGA-PBE
Structure: optimized geometry Values from VASP.

The structure in Quantum ESPRESSO input format:
```
&SYSTEM
  ibrav = 0, nat = 20, ntyp = 3
/
ATOMIC_SPECIES
Pm 145.00 Pm.upf
Sm 150.36 Sm.upf
Er 167.26 Er.upf
ATOMIC_POSITIONS crystal
Pm 0.500 0.500 0.400
Pm 0.000 0.500 0.701
Pm 0.500 0.000 0.901
Pm 0.500 0.000 0.299
Pm 0.000 0.500 0.299
Pm 0.500 0.000 0.500
Pm 0.500 0.500 0.600
Pm 0.500 0.000 0.701
Pm 0.500 0.500 0.801
Pm 0.000 0.500 0.901
Pm 0.000 0.500 0.500
Pm 0.500 0.500 0.199
Pm 0.000 0.500 0.099
Pm 0.500 0.500 0.000
Pm 0.500 0.000 0.099
Sm 0.000 0.000 0.801
Sm 0.000 0.000 0.600
Sm 0.000 0.000 0.400
Sm 0.000 0.000 0.199
Er 0.000 0.000 0.000
CELL_PARAMETERS angstrom
-1.037 -2.751 4.227
2.398 -4.066 -2.057
22.144 7.758 10.482
```

**Volume**: 34.07 Å³ per atom
**Magnetic moment**: 0.000 μB/cell
**Calculated formation energy**: 15 meV/atom
**Uncorrected energy**: -94.40 eV/cell

Compound: Pm3Sm4Er2
Source: the Alexandria database
Functional: GGA-PBE
Structure: optimized geometry Values from VASP.

The structure in Quantum ESPRESSO input format:
```
&SYSTEM
  ibrav = 0, nat = 9, ntyp = 3
/
ATOMIC_SPECIES
Pm 145.00 Pm.upf
Sm 150.36 Sm.upf
Er 167.26 Er.upf
ATOMIC_POSITIONS crystal
Pm 0.446 0.890 0.335
Pm 0.000 0.000 0.000
Pm 0.554 0.110 0.665
Sm 0.334 0.669 0.000
Sm 0.666 0.331 0.000
Sm 0.889 0.778 0.666
Sm 0.111 0.222 0.334
Er 0.779 0.558 0.335
Er 0.221 0.442 0.665
CELL_PARAMETERS angstrom
-1.828 4.948 3.337
-3.455 -1.958 -4.826
3.643 -8.661 8.986
```

**Volume**: 33.21 Å³ per atom
**Magnetic moment**: 0.000 μB/cell
**Calculated formation energy**: 15 meV/atom
**Uncorrected energy**: -42.12 eV/cell

Compound: Pm6Sm5Er2
Source: the Alexandria database
Functional: GGA-PBE
Structure: optimized geometry Values from VASP.

The structure in Quantum ESPRESSO input format:
```
&SYSTEM
  ibrav = 0, nat = 26, ntyp = 3
/
ATOMIC_SPECIES
Sm 150.36 Sm.upf
Pm 145.00 Pm.upf
Er 167.26 Er.upf
ATOMIC_POSITIONS crystal
Sm 0.500 0.198 0.946
Sm 0.500 0.802 0.054
Sm 0.500 0.588 0.273
Sm 0.500 0.500 0.000
Sm 0.500 0.088 0.227
Sm 0.500 0.912 0.773
Sm 0.500 0.412 0.727
Sm 0.500 0.302 0.446
Sm 0.500 0.000 0.500
Sm 0.500 0.698 0.554
Pm 0.500 0.674 0.862
Pm 0.000 0.082 0.368
Pm 0.000 0.582 0.132
Pm 0.500 0.326 0.138
Pm 0.500 0.174 0.638
Pm 0.000 0.438 0.581
Pm 0.000 0.938 0.919
Pm 0.500 0.826 0.362
Pm 0.000 0.418 0.868
Pm 0.000 0.562 0.419
Pm 0.000 0.918 0.632
Pm 0.000 0.062 0.081
Er 0.000 0.669 0.710
Er 0.000 0.331 0.290
Er 0.000 0.169 0.790
Er 0.000 0.831 0.210
CELL_PARAMETERS angstrom
-1.091 2.131 2.726
7.456 -5.459 7.253
14.784 13.762 -4.841
```

**Volume**: 34.05 Å³ per atom
**Magnetic moment**: 0.000 μB/cell
**Calculated formation energy**: 95 meV/atom
**Uncorrected energy**: -119.99 eV/cell